# KMg2FeBr8

An optimized crystal structure of KMg2FeBr8 (PBE, Alexandria via LeMat-Bulk).

**Magnetization**: 0.97 μB/f.u.
**DOS at the Fermi energy**: 6.6 states/eV per cell
**Space group**: C2/m, No. 12
**Formation energy (no corrections)**: -1013 meV/atom
**Crystal system**: monoclinic

Lattice parameters (Å, degrees): 6.5336 6.5336 9.0115 101.35 101.35 73.20
Closest atoms and distances in Å follow each position.
Positions (direct):
K (0.0000, 0.0000, 0.0000)  6 Br 3.31-3.49
Mg (0.4216, 0.4216, 0.7544)  4 Br 2.52-2.62
Mg (0.5784, 0.5784, 0.2456)  4 Br 2.52-2.62
Fe (0.0000, 0.0000, 0.5000)  6 Br 2.43-2.48
Br (0.1782, 0.7347, 0.2968)  1 Fe 2.48, 1 Mg 2.62
Br (0.2323, 0.2323, 0.5024)  1 Fe 2.43, 1 Mg 2.62
Br (0.2653, 0.8218, 0.7032)  1 Fe 2.48, 1 Mg 2.62
Br (0.3296, 0.3296, 0.9879)  1 Mg 2.52
Br (0.6704, 0.6704, 0.0121)  1 Mg 2.52
Br (0.7347, 0.1782, 0.2968)  1 Fe 2.48, 1 Mg 2.62
Br (0.7677, 0.7677, 0.4976)  1 Fe 2.43, 1 Mg 2.62
Br (0.8218, 0.2653, 0.7032)  1 Fe 2.48, 1 Mg 2.62